A plane-wave DFT calculation with PBE was carried out for a relaxed CaInOs2 crystal.

Geometry as extended XYZ:
```
4
Lattice="3.148 0.000 0.000 0.000 4.630 0.000 0.000 0.000 4.925" Properties=species:S:1:pos:R:3 pbc="T T T"
Ca 0.000 0.000 0.000
In 1.574 0.000 2.462
Os 0.000 2.315 2.462
Os 1.574 2.315 0.000
```

Properties
For the formation energy, the calculation gives 0.662 eV per atom.

=====

A plane-wave DFT calculation with PBE was carried out for a relaxed Ca2InOs crystal.

Geometry as extended XYZ:
```
8
Lattice="6.582 0.000 0.000 0.000 9.173 0.000 0.000 0.000 3.019" Properties=species:S:1:pos:R:3 pbc="T T T"
Ca 1.646 2.293 0.000
Ca 1.646 6.880 0.000
Ca 4.937 2.293 0.000
Ca 4.937 6.880 0.000
In 0.000 0.000 1.509
In 3.291 4.587 1.509
Os 0.000 4.587 1.509
Os 3.291 0.000 1.509
```

Properties
For the formation energy, the calculation gives 0.316 eV per atom.

=====

A plane-wave DFT calculation with PBE was carried out for a relaxed Ca2InOsPb crystal.

Geometry as extended XYZ:
```
5
Lattice="5.834 0.000 0.000 0.000 5.834 0.000 0.000 0.000 5.040" Properties=species:S:1:pos:R:3 pbc="T T T"
Ca 0.000 2.917 0.000
Ca 2.917 0.000 0.000
In 0.000 0.000 2.520
Os 2.917 2.917 2.520
Pb 2.917 2.917 0.000
```

Properties
For the formation energy, the calculation gives 0.757 eV per atom.

=====

A plane-wave DFT calculation with PBE was carried out for a relaxed CaIn2ReOs crystal.

Geometry as extended XYZ:
```
5
Lattice="5.124 0.000 0.000 0.000 5.124 0.000 0.000 0.000 4.894" Properties=species:S:1:pos:R:3 pbc="T T T"
Ca 0.000 0.000 0.000
In 0.000 2.562 2.447
In 2.562 0.000 2.447
Re 2.562 2.562 0.000
Os 2.562 2.562 2.447
```

Properties
For the formation energy, the calculation gives 0.707 eV per atom.

=====

A plane-wave DFT calculation with PBE was carried out for a relaxed CaInOsRu2 crystal.

Geometry as extended XYZ:
```
5
Lattice="4.515 0.000 0.000 0.000 4.515 0.000 0.000 0.000 5.115" Properties=species:S:1:pos:R:3 pbc="T T T"
Ca 0.000 0.000 0.000
In 0.000 0.000 2.557
Os 2.257 2.257 2.557
Ru 0.000 2.257 0.000
Ru 2.257 0.000 0.000
```

Properties
For the formation energy, the calculation gives 2.483 eV per atom.

=====

A plane-wave DFT calculation with PBE was carried out for a relaxed Ca2In2P crystal.

Geometry as extended XYZ:
```
10
Lattice="7.444 0.000 0.000 0.000 7.444 0.000 0.000 0.000 4.883" Properties=species:S:1:pos:R:3 pbc="T T T"
Ca 1.255 2.467 0.000
Ca 2.467 6.188 0.000
Ca 4.977 1.255 0.000
Ca 6.188 4.977 0.000
In 1.033 4.754 2.442
In 2.689 1.033 2.442
In 4.754 6.411 2.442
In 6.411 2.689 2.442
P 0.000 0.000 2.442
P 3.722 3.722 2.442
```

Properties
For the formation energy, the calculation gives -0.305 eV per atom.

=====

A plane-wave DFT calculation with PBE was carried out for a relaxed Ca4InP crystal.

Geometry as extended XYZ:
```
6
Lattice="0.000 4.562 4.562 4.562 0.000 4.562 4.562 4.562 0.000" Properties=species:S:1:pos:R:3 pbc="T T T"
Ca 1.145 1.145 1.145
Ca 3.417 3.417 1.145
Ca 3.417 1.145 3.417
Ca 1.145 3.417 3.417
In 6.843 6.843 6.843
P 4.562 4.562 4.562
```

Properties
For the formation energy, the calculation gives 0.329 eV per atom. The polymorph energy (0 for the lowest one) comes out at 900 meV/atom.

=====

A plane-wave DFT calculation with PBE was carried out for a relaxed CaInP2 crystal.

Geometry as extended XYZ:
```
8
Lattice="4.571 0.000 0.000 0.000 4.571 0.000 0.000 0.000 8.026" Properties=species:S:1:pos:R:3 pbc="T T T"
Ca 0.000 0.000 0.000
Ca 2.285 2.285 4.013
In 0.000 0.000 4.013
In 2.285 2.285 0.000
P 0.000 2.285 2.006
P 0.000 2.285 6.019
P 2.285 0.000 2.006
P 2.285 0.000 6.019
```

Properties
For the formation energy, the calculation gives -0.179 eV per atom.

=====

A plane-wave DFT calculation with PBE was carried out for a relaxed CaInP crystal.

Geometry as extended XYZ:
```
12
Lattice="0.000 4.983 6.758 4.920 0.000 6.758 4.920 4.983 0.000" Properties=species:S:1:pos:R:3 pbc="T T T"
Ca 3.690 3.737 0.319
Ca 6.150 6.229 3.698
Ca 3.690 3.737 9.818
Ca 6.150 6.229 13.197
In 4.920 2.492 3.379
In 2.460 4.983 3.379
In 2.460 2.492 6.758
In 4.920 4.983 6.758
P 3.690 0.828 5.069
P 6.150 3.320 8.448
P 3.690 6.646 5.069
P 6.150 9.138 8.448
```

Properties
For the formation energy, the calculation gives -0.415 eV per atom.

=====

A plane-wave DFT calculation with PBE was carried out for a relaxed CaInP crystal.

Geometry as extended XYZ:
```
3
Lattice="4.071 0.000 0.000 -2.036 3.526 0.000 0.000 0.000 5.502" Properties=species:S:1:pos:R:3 pbc="T T T"
Ca 0.000 0.000 0.000
In 2.036 1.175 2.552
P 0.000 2.350 3.913
```

Properties
For the formation energy, the calculation gives -0.648 eV per atom.

=====

A plane-wave DFT calculation with PBE was carried out for a relaxed CaInP2 crystal.

Geometry as extended XYZ:
```
4
Lattice="3.491 0.000 0.000 0.000 3.491 0.000 0.000 0.000 7.022" Properties=species:S:1:pos:R:3 pbc="T T T"
Ca 0.000 0.000 0.000
In 1.746 1.746 2.255
P 0.000 0.000 4.283
P 1.746 1.746 5.013
```

Properties
For the formation energy, the calculation gives -0.108 eV per atom.

=====

A plane-wave DFT calculation with PBE was carried out for a relaxed CaInP2 crystal.

Geometry as extended XYZ:
```
4
Lattice="3.894 0.000 0.000 0.000 3.894 0.000 0.000 0.000 6.336" Properties=species:S:1:pos:R:3 pbc="T T T"
Ca 0.000 0.000 0.000
In 0.000 0.000 3.168
P 1.947 1.947 1.092
P 1.947 1.947 5.244
```

Properties
For the formation energy, the calculation gives -0.375 eV per atom.

=====

A plane-wave DFT calculation with PBE was carried out for a relaxed CaInP2 crystal.

Geometry as extended XYZ:
```
8
Lattice="6.593 0.000 0.000 0.000 6.608 0.000 0.000 0.000 3.756" Properties=species:S:1:pos:R:3 pbc="T T T"
Ca 0.000 0.000 0.000
Ca 3.296 3.304 0.000
In 0.000 3.304 0.000
In 3.296 0.000 0.000
P 1.648 1.652 1.878
P 1.648 4.956 1.878
P 4.945 1.652 1.878
P 4.945 4.956 1.878
```

Properties
For the formation energy, the calculation gives -0.279 eV per atom.

=====

A plane-wave DFT calculation with PBE was carried out for a relaxed CaInP crystal.

Geometry as extended XYZ:
```
12
Lattice="10.593 0.000 0.000 0.000 4.278 0.000 0.000 0.000 6.876" Properties=species:S:1:pos:R:3 pbc="T T T"
Ca 1.057 1.069 1.189
Ca 4.240 3.208 4.627
Ca 6.353 1.069 2.249
Ca 9.537 3.208 5.688
In 1.227 1.069 4.532
In 4.069 3.208 1.094
In 6.524 1.069 5.782
In 9.366 3.208 2.344
P 1.911 3.208 6.296
P 3.386 1.069 2.858
P 7.207 3.208 4.019
P 8.683 1.069 0.580
```

Properties
For the formation energy, the calculation gives -0.668 eV per atom.

=====

A plane-wave DFT calculation with PBE was carried out for a relaxed Ca4InP crystal.

Geometry as extended XYZ:
```
12
Lattice="-3.644 3.644 7.236 3.644 -3.644 7.236 3.644 3.644 -7.236" Properties=species:S:1:pos:R:3 pbc="T T T"
Ca 5.456 1.812 -1.750
Ca 1.812 1.832 -1.750
Ca 5.456 1.812 1.750
Ca 1.812 1.832 1.750
Ca 1.832 1.812 5.485
Ca -1.812 1.832 5.485
Ca 1.832 1.812 8.986
Ca -1.812 1.832 8.986
In 0.000 0.000 3.618
In 0.000 0.000 10.854
P 3.644 0.000 0.000
P 0.000 3.644 0.000
```

Properties
For the formation energy, the calculation gives -0.570 eV per atom. The polymorph energy (0 for the lowest one) comes out at 0 meV/atom.

=====

A plane-wave DFT calculation with PBE was carried out for a relaxed CaIn4P crystal.

Geometry as extended XYZ:
```
12
Lattice="1.852 -8.723 0.000 1.852 8.723 0.000 0.000 0.000 9.757" Properties=species:S:1:pos:R:3 pbc="T T T"
Ca 1.852 6.452 7.317
Ca 1.852 -6.452 2.439
In 1.852 7.648 2.439
In 1.852 3.207 5.477
In 1.852 3.207 9.158
In 1.852 0.000 0.000
In 1.852 0.000 4.878
In 1.852 -3.207 0.599
In 1.852 -3.207 4.279
In 1.852 -7.648 7.317
P 1.852 4.424 2.439
P 1.852 -4.424 7.317
```

Properties
For the formation energy, the calculation gives -0.163 eV per atom. The polymorph energy (0 for the lowest one) comes out at 0 meV/atom.

=====

A plane-wave DFT calculation with PBE was carried out for a relaxed CaInP2 crystal.

Geometry as extended XYZ:
```
8
Lattice="3.568 0.000 0.000 0.000 4.527 0.000 0.000 0.000 11.171" Properties=species:S:1:pos:R:3 pbc="T T T"
Ca 0.000 0.000 0.000
Ca 1.784 2.263 5.586
In 0.000 2.263 2.459
In 1.784 0.000 8.045
P 0.000 0.000 5.285
P 0.000 2.263 9.190
P 1.784 0.000 3.604
P 1.784 2.263 10.871
```

Properties
For the formation energy, the calculation gives -0.287 eV per atom.

=====

A plane-wave DFT calculation with PBE was carried out for a relaxed CaInP2 crystal.

Geometry as extended XYZ:
```
16
Lattice="7.006 0.000 0.000 0.000 7.006 0.000 0.000 0.000 7.006" Properties=species:S:1:pos:R:3 pbc="T T T"
Ca 0.000 0.000 0.000
Ca 0.000 3.503 3.503
Ca 3.503 0.000 3.503
Ca 3.503 3.503 0.000
In 1.752 1.752 5.255
In 1.752 5.255 1.752
In 5.255 1.752 1.752
In 5.255 5.255 5.255
P 0.000 0.000 3.503
P 0.000 3.503 0.000
P 1.752 1.752 1.752
P 1.752 5.255 5.255
P 3.503 0.000 0.000
P 3.503 3.503 3.503
P 5.255 1.752 5.255
P 5.255 5.255 1.752
```

Properties
For the formation energy, the calculation gives 0.109 eV per atom.

=====

A plane-wave DFT calculation with PBE was carried out for a relaxed CaInP crystal.

Geometry as extended XYZ:
```
12
Lattice="8.218 0.000 0.000 0.000 4.034 0.000 0.000 0.000 8.750" Properties=species:S:1:pos:R:3 pbc="T T T"
Ca 0.560 1.009 1.563
Ca 3.550 3.026 5.938
Ca 4.669 1.009 2.812
Ca 7.659 3.026 7.187
In 1.077 1.009 4.723
In 3.032 3.026 0.348
In 5.186 1.009 8.402
In 7.141 3.026 4.027
P 1.606 1.009 7.370
P 2.503 3.026 2.995
P 5.715 1.009 5.755
P 6.612 3.026 1.380
```

Properties
For the formation energy, the calculation gives -0.583 eV per atom.

=====

A plane-wave DFT calculation with PBE was carried out for a relaxed Ca3In2P4 crystal.

Geometry as extended XYZ:
```
18
Lattice="6.523 0.000 0.000 0.000 15.838 0.000 0.000 0.000 4.214" Properties=species:S:1:pos:R:3 pbc="T T T"
Ca 0.000 0.000 0.000
Ca 1.481 4.825 2.107
Ca 1.781 12.744 0.000
Ca 3.261 7.919 2.107
Ca 4.742 3.094 0.000
Ca 5.042 11.012 2.107
In 0.903 9.321 0.000
In 2.358 1.402 2.107
In 4.164 14.436 2.107
In 5.620 6.517 0.000
P 1.521 2.730 0.000
P 1.599 14.734 2.107
P 1.663 6.815 0.000
P 1.740 10.649 2.107
P 4.782 5.189 2.107
P 4.860 9.022 0.000
P 4.924 1.103 2.107
P 5.002 13.108 0.000
```

Properties
For the formation energy, the calculation gives -0.817 eV per atom.